This record from the Alexandria database describes Pm2SmDy after structural relaxation. The functional is GGA-PBE.

a b c (Å): 5.814 7.347 6.344
angles (deg): 90.00 90.00 90.00
Fractional positions:
Pm  0.750  0.501  0.667
Sm  0.750  0.750  0.166
Pm  0.250  0.499  0.333
Dy  0.250  0.750  0.834
Dy  0.750  0.250  0.166
Pm  0.750  0.999  0.667
Sm  0.250  0.250  0.834
Pm  0.250  0.001  0.333

## Properties
Its energy above the most stable polymorph in this dataset is 14 meV per atom. The total DFT energy (no corrections) comes out at -4.68 eV/atom. As for the space group: Pmmn, No. 59. The formation energy comes out at 0.108 eV per formula unit. The density of states at the Fermi level is 14.0 states/eV per cell.